1.
Material: ZnTc2Ge2
Method: DFT, PBE-GGA
State: optimized geometry

a b c (Å): 6.897 6.897 3.227
angles (deg): 90.00 90.00 90.00
Space group P4/mbm (No. 127)
Asymmetric unit:
Zn1 0.000 0.000 0.000 x2
Tc1 0.148 0.352 0.000 x4
Ge1 0.149 0.649 0.500 x4

2.
Material: NaOsAuS3
Method: DFT, PBE-GGA
State: optimized geometry

a b c (Å): 3.421 15.183 9.437
angles (deg): 90.00 90.00 90.00
Space group Cmcm (No. 63)
Asymmetric unit:
Na1 0.000 0.197 0.250 x4
Os1 0.000 0.500 0.000 x4
Au1 0.000 0.142 0.750 x4
S1 0.000 0.113 0.511 x8
S2 0.000 0.462 0.750 x4

3.
Material: PaTcHg
Method: DFT, PBE-GGA
State: optimized geometry

a b c (Å): 6.635 6.635 6.635
angles (deg): 90.00 90.00 90.00
Space group F-43m (No. 216)
Asymmetric unit:
Pa1 0.000 0.000 0.000 x4
Tc1 0.000 0.000 0.500 x4
Hg1 0.250 0.250 0.250 x4

4.
Material: NaLuTe
Method: DFT, PBE-GGA
State: optimized geometry

a b c (Å): 7.105 7.105 7.105
angles (deg): 90.00 90.00 90.00
Space group F-43m (No. 216)
Asymmetric unit:
Na1 0.000 0.000 0.000 x4
Lu1 0.000 0.000 0.500 x4
Te1 0.250 0.250 0.750 x4

5.
Material: Zr4SnBiC2
Method: DFT, PBE-GGA
State: optimized geometry

a b c (Å): 3.4219 3.4219 14.7053
angles (deg): 90.00 90.00 120.00
Space group P-6m2 (No. 187)
Asymmetric unit:
Zr1 0.0000 0.0000 0.1651 x2
Zr2 0.6667 0.3333 0.3323 x2
Sn1 0.6667 0.3333 0.0000 x1
Bi1 0.0000 0.0000 0.5000 x1
C1 0.3333 0.6667 0.2492 x2

6.
Material: DyHoPbC
Method: DFT, PBE-GGA
State: optimized geometry

a b c (Å): 3.6298 3.6298 16.0939
angles (deg): 90.00 90.00 120.00
Space group P6_3mc (No. 186)
Asymmetric unit:
Dy1 0.3333 0.6667 0.0000 x2
Ho1 0.3333 0.6667 0.6650 x2
Pb1 0.3333 0.6667 0.3324 x2
C1 0.0000 0.0000 0.0825 x2

7.
Material: ZrScGa2Co4
Method: DFT, PBE-GGA
State: optimized geometry

a b c (Å): 4.0772 4.0772 8.0192
angles (deg): 90.00 90.00 120.00
Space group P-6m2 (No. 187)
Asymmetric unit:
Zr1 0.0000 0.0000 0.0000 x1
Sc1 0.6667 0.3333 0.5000 x1
Ga1 0.3333 0.6667 0.2534 x2
Co1 0.0000 0.0000 0.3369 x2
Co2 0.6667 0.3333 0.1625 x2

8.
Material: ZnSb2Pt
Method: DFT, PBE-GGA
State: optimized geometry

a b c (Å): 6.061 6.061 12.267
angles (deg): 90.00 90.00 90.00
Space group I-42d (No. 122)
Asymmetric unit:
Zn1 0.000 0.000 0.000 x4
Sb1 0.235 0.750 0.625 x8
Pt1 0.000 0.000 0.500 x4

9.
Material: TbYCu2Pb2
Method: DFT, PBE-GGA
State: optimized geometry

a b c (Å): 4.6285 4.6285 7.3860
angles (deg): 90.00 90.00 120.00
Space group P3m1 (No. 156)
Asymmetric unit:
Tb1 0.0000 0.0000 0.0000 x1
Y1 0.0000 0.0000 0.4998 x1
Cu1 0.3333 0.6667 0.8200 x1
Cu2 0.6667 0.3333 0.3200 x1
Pb1 0.3333 0.6667 0.2299 x1
Pb2 0.6667 0.3333 0.7295 x1

10.
Material: GdPa2O4
Method: DFT, PBE-GGA
State: optimized geometry

a b c (Å): 9.886 9.886 9.886
angles (deg): 90.00 90.00 90.00
Space group Fd-3m (No. 227, origin choice 2)
Asymmetric unit:
Gd1 0.125 0.125 0.125 x8
Pa1 0.000 0.000 0.500 x16
O1 0.002 0.002 0.748 x32

11.
Material: Tb2S2O
Method: DFT, PBE-GGA
State: optimized geometry

a b c (Å): 8.294 6.940 6.880
angles (deg): 90.00 99.27 90.00
Space group P2_1/c (No. 14)
Asymmetric unit:
Tb1 0.077 0.142 0.319 x4
Tb2 0.363 0.554 0.250 x4
S1 0.180 0.636 0.574 x4
S2 0.423 0.223 0.470 x4
O1 0.117 0.087 0.649 x4

12.
Material: Tb3Co11B4
Method: DFT, PBE-GGA
State: optimized geometry

a b c (Å): 5.0353 5.0353 9.7317
angles (deg): 90.00 90.00 120.00
Space group P6/mmm (No. 191)
Asymmetric unit:
Tb1 0.0000 0.0000 0.0000 x1
Tb2 0.0000 0.0000 0.3418 x2
Co1 0.0000 0.5000 0.2029 x6
Co2 0.0000 0.5000 0.5000 x3
Co3 0.3333 0.6667 0.0000 x2
B1 0.3333 0.6667 0.3498 x4

no.,DFT total energy (eV per atom)
1,-6.318
2,-4.871
3,-5.901
4,-3.309
5,-8.296
6,-6.028
7,-6.501
8,-3.901
9,-4.730
10,-8.473
11,-7.126
12,-6.931